Record 1
Density functional theory data (PBE) for an optimized crystal structure of NaPrCo.

The structure belongs to space group Cmcm (No. 63); the cell edges are 4.032, 21.004 and 3.987 Å and the angles 90.00°, 90.00° and 90.00°. Symmetry generates all atoms from Na at (0.000, 0.199, 0.250), Pr at (0.000, 0.424, 0.250) and Co at (0.000, 0.024, 0.250).

The magnetization is 0.26 μB per atom. The calculation puts the relative energy among the computed polymorphs at 0.23 eV per formula unit. Its formation enthalpy at 0 K is 0.025 eV per atom. The raw total energy comes out at -4.377 eV/atom.

Record 2
Density functional theory data (PBE) for an optimized crystal structure of K3CdFe.

The structure belongs to space group Pm-3m (No. 221); the cell edges are 6.346, 6.346 and 6.346 Å and the angles 90.00°, 90.00° and 90.00°. Symmetry generates all atoms from K at (0.000, 0.000, 0.500), Cd at (0.500, 0.500, 0.500) and Fe at (0.000, 0.000, 0.000).

The magnetization is 0.54 μB per atom. The calculation puts the relative energy among the computed polymorphs at 0.00 eV per formula unit. Its formation enthalpy at 0 K is 0.777 eV per atom. The raw total energy comes out at -1.757 eV/atom.

Record 3
Density functional theory data (PBE) for an optimized crystal structure of As2RuBrF.

The structure belongs to space group P4/mmm (No. 123); the cell edges are 4.246, 4.246 and 5.116 Å and the angles 90.00°, 90.00° and 90.00°. Symmetry generates all atoms from As at (0.000, 0.500, 0.000), Ru at (0.000, 0.000, 0.500), Br at (0.500, 0.500, 0.500) and F at (0.500, 0.500, 0.000).

The magnetization is 0.00 μB per atom. The calculation puts the relative energy among the computed polymorphs at 2.57 eV per formula unit. The raw total energy comes out at -3.752 eV/atom. The raw formation energy comes out at 672 meV/atom.

Record 4
Density functional theory data (PBE) for an optimized crystal structure of Zr2NbCdO.

The structure belongs to space group P4/mmm (No. 123); the cell edges are 4.592, 4.592 and 4.197 Å and the angles 90.00°, 90.00° and 90.00°. Symmetry generates all atoms from Zr at (0.000, 0.500, 0.000), Nb at (0.000, 0.000, 0.500), Cd at (0.500, 0.500, 0.500) and O at (0.000, 0.000, 0.000).

The magnetization is 0.00 μB per atom. The raw total energy comes out at -7.496 eV/atom. The raw formation energy comes out at -888 meV/atom.

Record 5
Density functional theory data (PBE) for an optimized crystal structure of YHo7Er5.

The structure belongs to space group Imm2 (No. 44); the cell edges are 6.633, 11.075 and 11.428 Å and the angles 90.00°, 90.00° and 90.00°. Symmetry generates all atoms from Y at (0.000, 0.000, 0.000), Ho at (0.000, 0.000, 0.311), Ho at (0.000, 0.000, 0.615), Ho at (0.000, 0.325, 0.552), Ho at (0.000, 0.332, 0.054), Ho at (0.000, 0.500, 0.798), Er at (0.000, 0.500, 0.305) and Er at (0.233, 0.228, 0.804).

The magnetization is 0.00 μB per atom. Its formation enthalpy at 0 K is 0.253 eV per atom. The raw total energy comes out at -4.464 eV/atom.

Record 6
Density functional theory data (PBE) for an optimized crystal structure of K3PmPu2Te6.

The structure belongs to space group C2/m (No. 12); the cell edges are 7.931, 13.737 and 8.624 Å and the angles 90.00°, 107.85° and 90.00°. Symmetry generates all atoms from K at (0.000, 0.000, 0.000), K at (0.000, 0.334, 0.000), Pm at (0.000, 0.500, 0.500), Pu at (0.000, 0.167, 0.500), Te at (0.234, 0.000, 0.711) and Te at (0.238, 0.332, 0.711).

The magnetization is 0.83 μB per atom. The raw total energy comes out at -5.839 eV/atom. The raw formation energy comes out at -1209 meV/atom.